BaWN2F after structural relaxation, computed with GGA+U.

abc: 4.130 4.130 4.354
angles: 90.00 90.00 90.00
Space group P4/mmm (No. 123)
Symmetry-distinct sites (fractional):
1 Ba 0.000 0.000 0.000 [1 per cell]
2 W 0.500 0.500 0.500 [1 per cell]
3 N 0.000 0.500 0.500 [2 per cell]
4 F 0.500 0.500 0.000 [1 per cell]

Results
calculated volume	14.9	A^3/atom
energy relative to the lowest polymorph listed for this composition	0.0	meV/atom